# Sm2AgRh2 PBE optimized geometry
data_Sm2AgRh2
_cell_length_a 7.476
_cell_length_b 7.476
_cell_length_c 3.869
_cell_angle_alpha 90.00
_cell_angle_beta 90.00
_cell_angle_gamma 90.00
_space_group_name_H-M_alt 'P 4/m b m'
_space_group_IT_number 127
_space_group_name_Hall '-P 4 2ab'
loop_
_atom_site_label
_atom_site_fract_x
_atom_site_fract_y
_atom_site_fract_z
_atom_site_occupancy
Sm1 0.170 0.330 0.000 1
Ag1 0.000 0.000 0.500 1
Rh1 0.132 0.632 0.500 1
# Total magnetization in μB per cell: 0.00
# Formation energy in eV/atom: -0.593
# Total energy in eV/cell: -59.9